Entry 1:
## ZrCrB2 (GGA-PBE)

Data for ZrCrB2 after structural relaxation.

It has space group Fm-3m (No. 225), with a = 5.664 Å, b = 5.664 Å, c = 5.664 Å, α = 90.00°, β = 90.00° and γ = 90.00°. Symmetry generates all atoms from Zr at (0.000, 0.000, 0.000), Cr at (0.000, 0.000, 0.500) and B at (0.250, 0.250, 0.250).

The calculation puts the theoretical density at 6.03 Mg/m³. The formation energy is 0.2379 eV/atom. As for the density of states at the Fermi level: 17.53 states/eV per cell. Its crystal system is cubic. The total magnetic moment comes out at 0.4206 μB per atom.

Entry 2:
## ZrCrB2 (GGA-PBE)

Data for ZrCrB2 after structural relaxation.

It has space group I4_1/amd (No. 141, origin choice 2), with a = 3.871 Å, b = 3.871 Å, c = 13.823 Å, α = 90.00°, β = 90.00° and γ = 90.00°. Symmetry generates all atoms from Zr at (0.000, 0.250, 0.375), Cr at (0.000, 0.250, 0.875) and B at (0.000, 0.000, 0.000).

The calculation puts the theoretical density at 5.29 Mg/m³. The formation energy is 0.1525 eV/atom. As for the density of states at the Fermi level: 3.93 states/eV per cell. Its crystal system is tetragonal. The total magnetic moment comes out at 0.0000 μB per atom.

Entry 3:
## ZrCrB3 (GGA-PBE)

Data for ZrCrB3 after structural relaxation.

It has space group Cmcm (No. 63), with a = 3.390 Å, b = 18.657 Å, c = 3.077 Å, α = 90.00°, β = 90.00° and γ = 90.00°. Symmetry generates all atoms from Zr at (0.000, 0.075, 0.250), Cr at (0.000, 0.207, 0.750), B at (0.000, 0.323, 0.750), B at (0.000, 0.373, 0.250) and B at (0.000, 0.476, 0.250).

The calculation puts the theoretical density at 5.99 Mg/m³. The formation energy is -0.6588 eV/atom. As for the density of states at the Fermi level: 10.63 states/eV per cell. Its crystal system is orthorhombic. The total magnetic moment comes out at 0.1919 μB per atom.

The lowest total magnetic moment belongs to which entry? number 2

Which value of theoretical density does entry 1 give? 6.03 Mg/m³

Among the records above, which one has the lowest total magnetic moment? number 2

Among the records above, which one has the lowest total magnetic moment? number 2